[1]
Here is a geometry-optimized K2SrMoAs structure from Alexandria. Energies are from PBE-GGA.

a b c (Å): 6.334 5.995 6.334
angles (deg): 90.00 90.00 90.00
Each line ends with the local moment (μB).
Fractional coordinates of all 5 atoms:
Sr1 0.000 0.500 0.000  -0.01
As1 0.000 0.000 0.000  0.01
Mo1 0.500 0.500 0.500  3.94
K1 0.000 0.000 0.500  0.00
K2 0.500 0.000 0.000  0.00

Properties
* calculated density: 2324 kg/m³
* space group: P4/mmm
* E: -15.93 eV for the cell shown

***

[2]
Here is a geometry-optimized KTlMoAs2 structure from Alexandria. Energies are from PBE-GGA.

a b c (Å): 4.914 6.078 4.914
angles (deg): 90.00 90.00 90.00
Each line ends with the local moment (μB).
Fractional coordinates of all 5 atoms:
Tl1 0.500 0.500 0.500  -0.03
As1 0.500 0.000 0.000  -0.03
As2 0.000 0.000 0.500  -0.01
Mo1 0.000 0.000 0.000  0.62
K1 0.000 0.500 0.000  0.02

Properties
* calculated density: 5534 kg/m³
* space group: P4/mmm
* E: -21.77 eV for the cell shown

***

[3]
Here is a geometry-optimized KMoAs2W structure from Alexandria. Energies are from PBE-GGA.

a b c (Å): 5.016 4.485 5.016
angles (deg): 90.00 90.00 90.00
Each line ends with the local moment (μB).
Fractional coordinates of all 5 atoms:
Mo1 0.000 0.500 0.000  1.44
W1 0.500 0.500 0.500  0.09
As1 0.000 0.000 0.500  -0.05
As2 0.500 0.000 0.000  -0.05
K1 0.000 0.000 0.000  0.04

Properties
* calculated density: 6897 kg/m³
* space group: P4/mmm
* E: -19.06 eV for the cell shown

***

[4]
Here is a geometry-optimized K2ZrMoAs structure from Alexandria. Energies are from PBE-GGA.

a b c (Å): 6.097 4.847 6.097
angles (deg): 90.00 90.00 90.00
Each line ends with the local moment (μB).
Fractional coordinates of all 5 atoms:
Mo1 0.000 0.500 0.000  2.39
As1 0.000 0.000 0.000  -0.13
Zr1 0.500 0.500 0.500  0.23
K1 0.000 0.000 0.500  0.01
K2 0.500 0.000 0.000  0.01

Properties
* calculated density: 3137 kg/m³
* space group: P4/mmm
* E: -19.88 eV for the cell shown

***

[5]
Here is a geometry-optimized KZrMo2As structure from Alexandria. Energies are from PBE-GGA.

a b c (Å): 5.125 5.287 5.125
angles (deg): 90.00 90.00 90.00
Each line ends with the local moment (μB).
Fractional coordinates of all 5 atoms:
Mo1 0.500 0.000 0.000  2.17
Mo2 0.000 0.000 0.500  1.83
As1 0.000 0.500 0.000  -0.06
K1 0.500 0.500 0.500  0.02
Zr1 0.000 0.000 0.000  -0.18

Properties
* calculated density: 4749 kg/m³
* space group: P4/mmm
* E: -29.00 eV for the cell shown

***

[6]
Here is a geometry-optimized K2AsN structure from Alexandria. Energies are from PBE-GGA.

a b c (Å): 11.538 11.538 8.399
angles (deg): 46.62 46.62 90.00
Each line ends with the local moment (μB).
Fractional coordinates of all 8 atoms:
K1 0.875 0.645 0.750  0.01
K2 0.395 0.125 0.250  0.01
K3 0.375 0.605 0.750  0.01
K4 0.355 0.625 0.250  0.01
N1 0.500 0.500 0.000  0.18
N2 0.250 0.750 0.500  0.18
As1 0.000 0.000 0.000  0.04
As2 0.750 0.250 0.500  0.04

Properties
* uncorrected formation energy: 0.2046 eV per atom
* ΔE to the lowest computed polymorph: 0.000 eV per atom
* calculated density: 2091 kg/m³
* space group: I-42d
* E: -28.70 eV for the cell shown

***

[7]
Here is a geometry-optimized KAs3N structure from Alexandria. Energies are from PBE-GGA.

a b c (Å): 4.592 4.592 4.592
angles (deg): 90.00 90.00 90.00
Fractional coordinates of all 5 atoms:
As1 0.000 0.500 0.000
As2 0.500 0.000 0.000
As3 0.000 0.000 0.500
N1 0.000 0.000 0.000
K1 0.500 0.500 0.500

Properties
* uncorrected formation energy: 0.6819 eV per atom
* ΔE to the lowest computed polymorph: 0.000 eV per atom
* calculated density: 4764 kg/m³
* space group: Pm-3m
* E: -19.96 eV for the cell shown

***

[8]
Here is a geometry-optimized KAsN3 structure from Alexandria. Energies are from PBE-GGA.

a b c (Å): 3.936 3.936 3.936
angles (deg): 90.00 90.00 90.00
Each line ends with the local moment (μB).
Fractional coordinates of all 5 atoms:
N1 0.000 0.000 0.500  0.73
N2 0.500 0.000 0.000  0.67
N3 0.000 0.500 0.000  0.72
K1 0.500 0.500 0.500  0.02
As1 0.000 0.000 0.000  -0.06

Properties
* uncorrected formation energy: 1.3442 eV per atom
* calculated density: 4251 kg/m³
* space group: Pm-3m
* E: -24.00 eV for the cell shown

***

Which value of calculated density does entry 8 give?
4251 kg/m³